First-principles (PBE) data for an optimized crystal structure of YHf2AlN, as listed in the Alexandria database.

Unit cell a=4.411 b=4.411 c=4.779 alpha=90.00 beta=90.00 gamma=90.00
Sites, in units of the cell vectors:
1 Y 0.000 0.000 0.000
2 Hf 0.000 0.500 0.500
3 Hf 0.500 0.000 0.500
4 Al 0.500 0.500 0.000
5 N 0.000 0.000 0.500

Calculated values
Total magnetization (μB per cell): 0.0
SG: P4/mmm, No. 123
D(E_F) (states/eV/f.u.): 3.2
Density (Mg/m³): 8.7
Energy relative to the elements, uncorrected (meV/atom): -811



First-principles (PBE) data for an optimized crystal structure of NaHfAl4, as listed in the Alexandria database.

Unit cell a=5.401 b=5.401 c=5.401 alpha=60.00 beta=60.00 gamma=60.00
Sites, in units of the cell vectors:
1 Na 0.000 0.000 0.000
2 Hf 0.250 0.250 0.250
3 Al 0.127 0.624 0.624
4 Al 0.624 0.127 0.624
5 Al 0.624 0.624 0.127
6 Al 0.624 0.624 0.624

Calculated values
Total magnetization (μB per cell): 0.0
SG: F-43m, No. 216
Calculated formation energy (kJ/mol of formula units): -36
D(E_F) (states/eV/f.u.): 3.9
Density (Mg/m³): 4.6



First-principles (PBE) data for an optimized crystal structure of Na2HfAl, as listed in the Alexandria database.

Unit cell a=6.658 b=6.658 c=6.658 alpha=100.65 beta=100.65 gamma=129.08
Sites, in units of the cell vectors:
1 Na 0.095 0.625 0.970
2 Na 0.375 0.345 0.470
3 Na 0.655 0.125 0.030
4 Na 0.875 0.905 0.530
5 Hf 0.250 0.750 0.500
6 Hf 0.500 0.500 0.000
7 Al 0.000 0.000 0.000
8 Al 0.750 0.250 0.500

Calculated values
Total magnetization (μB per cell): 1.0
SG: I-42d, No. 122
Calculated formation energy (kJ/mol of formula units): 322
D(E_F) (states/eV/f.u.): 4.4
Density (Mg/m³): 4.0



First-principles (PBE) data for an optimized crystal structure of NaHfAl2, as listed in the Alexandria database.

Unit cell a=6.119 b=6.119 c=6.119 alpha=104.29 beta=104.29 gamma=120.43
Sites, in units of the cell vectors:
1 Na 0.000 0.000 0.000
2 Na 0.750 0.250 0.500
3 Hf 0.250 0.750 0.500
4 Hf 0.500 0.500 0.000
5 Al 0.119 0.625 0.994
6 Al 0.375 0.369 0.494
7 Al 0.631 0.125 0.006
8 Al 0.875 0.881 0.506

Calculated values
Total magnetization (μB per cell): 0.0
SG: I-42d, No. 122
Calculated formation energy (kJ/mol of formula units): 198
D(E_F) (states/eV/f.u.): 2.4
Density (Mg/m³): 4.9
Polymorph energy (0 for the lowest one) (meV/atom): 356